VASP calculation (PBE-GGA) on Tb4YTh after structural relaxation.

Lattice parameters (Å, degrees): 6.652 8.954 8.520 111.76 100.48 113.37
Fractional positions:
1 Tb 0.049 0.174 0.750
2 Tb 0.751 0.716 0.614
3 Tb 0.201 0.576 0.750
4 Tb 0.363 0.899 0.614
5 Tb 0.637 0.101 0.386
6 Tb 0.799 0.424 0.250
7 Tb 0.249 0.284 0.386
8 Tb 0.951 0.826 0.250
9 Y 0.338 0.588 0.177
10 Y 0.662 0.412 0.823
11 Th 0.250 0.000 0.001
12 Th 0.750 0.000 0.999

Energy of formation from the pure elements ... 0.94 eV/f.u.
E ... -5.24 eV/atom
ΔE to the lowest computed polymorph ... 0.140 eV/atom

VASP calculation (PBE-GGA) on TiV4Mo5 after structural relaxation.

Lattice parameters (Å, degrees): 3.084 3.084 15.538 90.00 90.00 90.00
Fractional positions:
1 Ti 0.000 0.000 0.000
2 V 0.000 0.000 0.203
3 V 0.000 0.000 0.401
4 V 0.000 0.000 0.599
5 V 0.000 0.000 0.797
6 Mo 0.500 0.500 0.106
7 Mo 0.500 0.500 0.303
8 Mo 0.500 0.500 0.500
9 Mo 0.500 0.500 0.697
10 Mo 0.500 0.500 0.894

Energy of formation from the pure elements ... -1.11 eV/f.u.
E ... -9.96 eV/atom

VASP calculation (PBE-GGA) on CaTm2NpAs4 after structural relaxation.

Lattice parameters (Å, degrees): 4.107 7.106 7.109 108.97 90.00 90.00
Fractional positions:
1 Ca 0.500 0.500 0.000
2 Tm 0.500 0.000 0.500
3 Tm 0.000 0.500 0.500
4 Np 0.000 0.000 0.000
5 As 0.500 0.246 0.253
6 As 0.500 0.754 0.747
7 As 0.000 0.239 0.745
8 As 0.000 0.761 0.255

Energy of formation from the pure elements ... -9.44 eV/f.u.
E ... -6.49 eV/atom

VASP calculation (PBE-GGA) on Na2MnRh2Se6 after structural relaxation.

Lattice parameters (Å, degrees): 6.454 6.454 7.221 98.69 98.69 120.00
Fractional positions:
1 Na 0.834 0.166 0.000
2 Na 0.166 0.834 0.000
3 Mn 0.000 0.000 0.500
4 Rh 0.332 0.668 0.500
5 Rh 0.668 0.332 0.500
6 Se 0.735 0.735 0.691
7 Se 0.064 0.396 0.690
8 Se 0.265 0.265 0.309
9 Se 0.396 0.064 0.690
10 Se 0.936 0.604 0.310
11 Se 0.604 0.936 0.310

E ... -4.94 eV/atom
Formation energy (no corrections) ... -0.63 eV per atom

VASP calculation (PBE-GGA) on KSc2InHg after structural relaxation.

Lattice parameters (Å, degrees): 5.494 5.572 5.494 90.00 90.00 90.00
Fractional positions:
1 Sc 0.000 0.000 0.500
2 Sc 0.500 0.000 0.000
3 K 0.500 0.500 0.500
4 Hg 0.000 0.000 0.000
5 In 0.000 0.500 0.000

Energy of formation from the pure elements ... 1.94 eV/f.u.
E ... -2.97 eV/atom
ΔE to the lowest computed polymorph ... 0.000 eV/atom

VASP calculation (PBE-GGA) on HfBeAs after structural relaxation.

Lattice parameters (Å, degrees): 5.093 3.636 8.013 70.11 71.47 45.54
Fractional positions:
1 Hf 0.680 0.367 0.273
2 Hf 0.320 0.633 0.727
3 Be 0.821 0.781 0.577
4 Be 0.179 0.219 0.423
5 As 0.214 0.442 0.130
6 As 0.786 0.558 0.870

Energy of formation from the pure elements ... -0.88 eV/f.u.
E ... -6.40 eV/atom

VASP calculation (PBE-GGA) on Ca2ZnSi after structural relaxation.

Lattice parameters (Å, degrees): 4.682 4.682 7.206 79.81 79.81 45.57
Fractional positions:
1 Ca 0.010 0.010 0.973
2 Ca 0.490 0.490 0.527
3 Si 0.750 0.750 0.750
4 Zn 0.250 0.250 0.250

E ... -2.77 eV/atom
Formation energy (no corrections) ... -0.10 eV per atom
ΔE to the lowest computed polymorph ... 0.304 eV/atom

VASP calculation (PBE-GGA) on YW after structural relaxation.

Lattice parameters (Å, degrees): 5.059 5.059 5.738 90.00 90.00 120.00
Fractional positions:
1 Y 0.333 0.667 0.250
2 Y 0.667 0.333 0.750
3 W 0.333 0.667 0.750
4 W 0.667 0.333 0.250

Energy of formation from the pure elements ... 4.72 eV/f.u.
E ... -7.35 eV/atom
ΔE to the lowest computed polymorph ... 2.111 eV/atom

VASP calculation (PBE-GGA) on Ac2ZnIrPb after structural relaxation.

Lattice parameters (Å, degrees): 4.604 7.836 8.499 108.67 90.00 90.00
Fractional positions:
1 Ac 0.750 0.871 0.667
2 Ac 0.750 0.713 0.041
3 Ac 0.250 0.129 0.333
4 Ac 0.250 0.287 0.959
5 Zn 0.250 0.568 0.692
6 Zn 0.750 0.432 0.308
7 Ir 0.250 0.885 0.912
8 Ir 0.750 0.115 0.088
9 Pb 0.250 0.665 0.350
10 Pb 0.750 0.335 0.650

Energy of formation from the pure elements ... -2.58 eV/f.u.
E ... -4.93 eV/atom

VASP calculation (PBE-GGA) on Na3SrMg after structural relaxation.

Lattice parameters (Å, degrees): 5.973 5.973 5.973 90.00 90.00 90.00
Fractional positions:
1 Sr 0.500 0.500 0.500
2 Mg 0.000 0.000 0.000
3 Na 0.000 0.500 0.000
4 Na 0.000 0.000 0.500
5 Na 0.500 0.000 0.000

Energy of formation from the pure elements ... 1.20 eV/f.u.
E ... -1.21 eV/atom
ΔE to the lowest computed polymorph ... 0.000 eV/atom

VASP calculation (PBE-GGA) on BaLa2Ag2 after structural relaxation.

Lattice parameters (Å, degrees): 5.620 5.620 6.900 65.97 65.97 90.00
Fractional positions:
1 Ba 0.000 0.000 0.000
2 Ag 0.750 0.250 0.500
3 Ag 0.250 0.750 0.500
4 La 0.360 0.360 0.281
5 La 0.640 0.640 0.719

Energy of formation from the pure elements ... 0.14 eV/f.u.
E ... -3.47 eV/atom
ΔE to the lowest computed polymorph ... 0.143 eV/atom

VASP calculation (PBE-GGA) on TlMoPb2 after structural relaxation.

Lattice parameters (Å, degrees): 7.602 7.602 7.602 156.47 141.76 45.40
Fractional positions:
1 Mo 0.750 0.250 0.500
2 Pb 0.931 0.931 0.000
3 Pb 0.569 0.569 0.000
4 Tl 0.250 0.750 0.500

Energy of formation from the pure elements ... 1.85 eV/f.u.
E ... -4.69 eV/atom
ΔE to the lowest computed polymorph ... 0.000 eV/atom

What did the fifth record say?
VASP calculation (PBE-GGA) on KSc2InHg after structural relaxation.

Lattice parameters (Å, degrees): 5.494 5.572 5.494 90.00 90.00 90.00
Fractional positions:
1 Sc 0.000 0.000 0.500
2 Sc 0.500 0.000 0.000
3 K 0.500 0.500 0.500
4 Hg 0.000 0.000 0.000
5 In 0.000 0.500 0.000

Energy of formation from the pure elements ... 1.94 eV/f.u.
E ... -2.97 eV/atom
ΔE to the lowest computed polymorph ... 0.000 eV/atom

Please write out number 5 again, unchanged.
VASP calculation (PBE-GGA) on KSc2InHg after structural relaxation.

Lattice parameters (Å, degrees): 5.494 5.572 5.494 90.00 90.00 90.00
Fractional positions:
1 Sc 0.000 0.000 0.500
2 Sc 0.500 0.000 0.000
3 K 0.500 0.500 0.500
4 Hg 0.000 0.000 0.000
5 In 0.000 0.500 0.000

Energy of formation from the pure elements ... 1.94 eV/f.u.
E ... -2.97 eV/atom
ΔE to the lowest computed polymorph ... 0.000 eV/atom